[1]
# AlCr2P

AlCr2P after structural relaxation (PBEsol, the Alexandria database).

abc: 5.753 5.753 5.753
angles: 90.00 90.00 90.00
Space group F-43m (No. 216)
Inequivalent atoms, fractional coordinates:
Al 0.000 0.000 0.000
Cr 0.000 0.000 0.500
Cr 0.250 0.250 0.250
P 0.250 0.250 0.750



[2]
# Al2CrP

Al2CrP after structural relaxation (PBEsol, the Alexandria database).

abc: 3.632 3.632 8.079
angles: 90.00 90.00 90.00
Space group I4/mmm (No. 139)
Inequivalent atoms, fractional coordinates:
Al 0.000 0.500 0.250
Cr 0.000 0.000 0.000
P 0.000 0.000 0.500



[3]
# AlCr2P

AlCr2P after structural relaxation (PBEsol, the Alexandria database).

abc: 5.118 7.538 2.618
angles: 90.00 109.55 90.00
Space group C2/m (No. 12)
Inequivalent atoms, fractional coordinates:
Al 0.000 0.000 0.000
Cr 0.250 0.250 0.500
P 0.000 0.500 0.000



[4]
# AlCrP2

AlCrP2 after structural relaxation (PBEsol, the Alexandria database).

abc: 3.298 3.535 4.808
angles: 90.00 90.00 90.00
Space group Pmmm (No. 47)
Inequivalent atoms, fractional coordinates:
Al 0.000 0.000 0.000
Cr 0.000 0.500 0.500
P 0.500 0.000 0.500
P 0.500 0.500 0.000



[5]
# AlCr2Pb

AlCr2Pb after structural relaxation (PBEsol, the Alexandria database).

abc: 4.606 3.101 5.210
angles: 90.00 111.76 90.00
Space group P2/m (No. 10)
Inequivalent atoms, fractional coordinates:
Al 0.000 0.000 0.000
Cr 0.500 0.000 0.500
Cr 0.500 0.500 0.000
Pb 0.000 0.500 0.500



[6]
# AlCrPb2

AlCrPb2 after structural relaxation (PBEsol, the Alexandria database).

abc: 6.509 8.148 3.374
angles: 90.00 90.00 90.00
Space group Cmmm (No. 65)
Inequivalent atoms, fractional coordinates:
Al 0.000 0.000 0.000
Cr 0.000 0.500 0.000
Pb 0.250 0.250 0.500



[7]
# AlCr2Pb

AlCr2Pb after structural relaxation (PBEsol, the Alexandria database).

abc: 3.0581 3.0581 25.8144
angles: 90.00 90.00 120.00
Space group R-3m (No. 166, hexagonal axes)
Inequivalent atoms, fractional coordinates:
Al 0.0000 0.0000 0.0000
Cr 0.0000 0.0000 0.2576
Pb 0.0000 0.0000 0.5000



[8]
# AlCrPt2

AlCrPt2 after structural relaxation (PBEsol, the Alexandria database).

abc: 2.809 3.588 5.636
angles: 90.00 90.00 90.00
Space group Pmmm (No. 47)
Inequivalent atoms, fractional coordinates:
Al 0.000 0.000 0.000
Cr 0.000 0.000 0.500
Pt 0.500 0.500 0.249



| no. | calculated formation energy (meV per atom) | size of the total moment (μB/f.u.) |
| --- | --- | --- |
| 1 | 93 | 1.15 |
| 2 | -34 | 2.05 |
| 3 | 38 | 0.00 |
| 4 | 85 | 2.29 |
| 5 | 676 | 5.88 |
| 6 | 509 | 4.01 |
| 7 | 649 | 5.95 |
| 8 | -515 | 3.42 |